(1)
TbThNiPt | GGA-PBE | relaxed

Lattice parameters (Å, degrees): 7.0564 7.0564 7.0564 90.00 90.00 90.00
With the nearest neighbours (Å) after each atom.
Fractional positions:
Tb 0.0000 0.0000 0.0000  4 Ni 3.06, 4 Pt 3.06
Tb 0.0000 0.5000 0.5000  4 Ni 3.06, 4 Pt 3.06
Tb 0.5000 0.0000 0.5000  4 Ni 3.06, 4 Pt 3.06
Tb 0.5000 0.5000 0.0000  4 Ni 3.06, 4 Pt 3.06
Th 0.0000 0.0000 0.5000  4 Ni 3.06, 4 Pt 3.06
Th 0.0000 0.5000 0.0000  4 Ni 3.06, 4 Pt 3.06
Th 0.5000 0.0000 0.0000  4 Ni 3.06, 4 Pt 3.06
Th 0.5000 0.5000 0.5000  4 Ni 3.06, 4 Pt 3.06
Ni 0.2500 0.2500 0.2500  4 Tb 3.06, 4 Th 3.06
Ni 0.2500 0.7500 0.7500  4 Tb 3.06, 4 Th 3.06
Ni 0.7500 0.2500 0.7500  4 Tb 3.06, 4 Th 3.06
Ni 0.7500 0.7500 0.2500  4 Tb 3.06, 4 Th 3.06
Pt 0.2500 0.2500 0.7500  4 Tb 3.06, 4 Th 3.06
Pt 0.2500 0.7500 0.2500  4 Tb 3.06, 4 Th 3.06
Pt 0.7500 0.2500 0.2500  4 Tb 3.06, 4 Th 3.06
Pt 0.7500 0.7500 0.7500  4 Tb 3.06, 4 Th 3.06

Output
- DOS(E_F): 13.6 states/eV/cell
- DFT formation energy: -706 meV per atom
- Magnetization: 0.00 μB/cell
- Distance to the lowest polymorph of the same formula: 151 meV per atom
- Crystal system: cubic

---

(2)
TbThNiPt | GGA-PBE | relaxed

Lattice parameters (Å, degrees): 4.3297 3.7738 10.9502 90.00 90.00 90.00
With the nearest neighbours (Å) after each atom.
Fractional positions:
Tb 0.0000 0.0000 0.0000  3 Ni 2.91-3.18, 4 Pt 2.94
Tb 0.0000 0.5000 0.5000  3 Ni 2.91-3.18, 4 Pt 2.94
Th 0.5000 0.0000 0.7243  4 Ni 2.91, 3 Pt 3.05-3.08
Th 0.5000 0.5000 0.2243  4 Ni 2.91, 3 Pt 3.05-3.08
Ni 0.0000 0.0000 0.2660  2 Pt 2.91, 4 Th 2.91, 3 Tb 2.91-3.18
Ni 0.0000 0.5000 0.7660  2 Pt 2.91, 4 Th 2.91, 3 Tb 2.91-3.18
Pt 0.5000 0.0000 0.4431  2 Ni 2.91, 4 Tb 2.94, 3 Th 3.05-3.08
Pt 0.5000 0.5000 0.9431  2 Ni 2.91, 4 Tb 2.94, 3 Th 3.05-3.08

Output
- DOS(E_F): 6.6 states/eV/cell
- DFT formation energy: -857 meV per atom
- Magnetization: 0.00 μB/cell
- Distance to the lowest polymorph of the same formula: 0 meV per atom
- Crystal system: orthorhombic

---

(3)
TbTlNiPt | GGA-PBE | relaxed

Lattice parameters (Å, degrees): 6.7539 6.7539 6.7539 90.00 90.00 90.00
With the nearest neighbours (Å) after each atom.
Fractional positions:
Tb 0.0000 0.0000 0.0000  4 Ni 2.92, 4 Pt 2.92
Tb 0.0000 0.5000 0.5000  4 Ni 2.92, 4 Pt 2.92
Tb 0.5000 0.0000 0.5000  4 Ni 2.92, 4 Pt 2.92
Tb 0.5000 0.5000 0.0000  4 Ni 2.92, 4 Pt 2.92
Tl 0.0000 0.0000 0.5000  4 Ni 2.92, 4 Pt 2.92
Tl 0.0000 0.5000 0.0000  4 Ni 2.92, 4 Pt 2.92
Tl 0.5000 0.0000 0.0000  4 Ni 2.92, 4 Pt 2.92
Tl 0.5000 0.5000 0.5000  4 Pt 2.92, 4 Ni 2.92
Ni 0.2500 0.2500 0.2500  4 Tb 2.92, 4 Tl 2.92
Ni 0.2500 0.7500 0.7500  4 Tl 2.92, 4 Tb 2.92
Ni 0.7500 0.2500 0.7500  4 Tl 2.92, 4 Tb 2.92
Ni 0.7500 0.7500 0.2500  4 Tl 2.92, 4 Tb 2.92
Pt 0.2500 0.2500 0.7500  4 Tb 2.92, 4 Tl 2.92
Pt 0.2500 0.7500 0.2500  4 Tb 2.92, 4 Tl 2.92
Pt 0.7500 0.2500 0.2500  4 Tb 2.92, 4 Tl 2.92
Pt 0.7500 0.7500 0.7500  4 Tb 2.92, 4 Tl 2.92

Output
- DOS(E_F): 14.6 states/eV/cell
- DFT formation energy: -438 meV per atom
- Magnetization: 0.00 μB/cell
- Crystal system: cubic